Sm4Ho3Tm after structural relaxation. Source: Alexandria via LeMat-Bulk, functional PBE-GGA.

a b c (Å): 5.636 25.876 3.618
angles (deg): 90.00 90.00 90.00
Positions (direct):
Sm1 0.000 0.102 0.000
Sm2 0.000 0.223 0.000
Sm3 0.000 0.777 0.000
Sm4 0.000 0.898 0.000
Sm5 0.500 0.277 0.000
Sm6 0.500 0.398 0.000
Sm7 0.500 0.602 0.000
Sm8 0.500 0.723 0.000
Ho1 0.000 0.349 0.500
Ho2 0.000 0.500 0.000
Ho3 0.000 0.651 0.500
Ho4 0.500 0.000 0.000
Ho5 0.500 0.151 0.500
Ho6 0.500 0.849 0.500
Tm1 0.000 0.000 0.500
Tm2 0.500 0.500 0.500

Summary:
energy of formation from the pure elements = 0.186 eV/atom
energy above the most stable polymorph in this dataset = 166 meV per atom
V = 263.77 Å³/f.u.